## Er3P2S (PBE-GGA)

Data for a relaxed structure of Er3P2S.

The value obtained for the calculated volume is 21.51 Å³/atom. The energy relative to the lowest polymorph listed for this composition is 0 meV per atom.

It has space group Immm (No. 71), with a = 3.938 Å, b = 5.555 Å, c = 11.796 Å, α = 90.00°, β = 90.00° and γ = 90.00°. Symmetry generates all atoms from Er at (0.000, 0.000, 0.000), Er at (0.000, 0.000, 0.329), P at (0.000, 0.500, 0.334) and S at (0.000, 0.500, 0.000).